Compound: HfPaAl2
Source: the Alexandria database
Functional: PBE
Structure: relaxed

Computed properties:
Calculated formation energy   -255 meV per atom

Cell: 3.0535 3.0535 8.6095 Å, 90.00 90.00 90.00°
Space group P4/mmm (No. 123)
Unique sites:
Hf1 0.0000 0.0000 0.0000 [1 per cell]
Pa1 0.0000 0.0000 0.5000 [1 per cell]
Al1 0.5000 0.5000 0.2336 [2 per cell]

***

Compound: Hf12Pa5Al3
Source: the Alexandria database
Functional: PBE
Structure: relaxed

Computed properties:
Calculated formation energy   1232 meV per atom

Cell: 16.3751 16.3751 16.3751 Å, 90.00 90.00 90.00°
Space group Ia-3d (No. 230)
Unique sites:
Hf1 0.0040 0.0785 0.6543 [96 per cell]
Pa1 0.0000 0.0000 0.0000 [16 per cell]
Pa2 0.0000 0.2500 0.3750 [24 per cell]
Al1 0.0000 0.2500 0.1250 [24 per cell]

***

Compound: Hf2PaAl
Source: the Alexandria database
Functional: PBE
Structure: relaxed

Computed properties:
Calculated formation energy   -66 meV per atom

Cell: 5.4529 3.1758 10.2003 Å, 90.00 99.79 90.00°
Space group Cm (No. 8)
Unique sites:
Hf1 0.0000 0.0000 0.0000 [2 per cell]
Hf2 0.1679 0.0000 0.5299 [2 per cell]
Pa1 0.2457 0.5000 0.2653 [2 per cell]
Al1 0.0842 0.5000 0.7653 [2 per cell]

***

Compound: PuHfPaAl
Source: the Alexandria database
Functional: PBE
Structure: relaxed

Computed properties:
Calculated formation energy   12 meV per atom

Cell: 7.0361 7.0361 7.0361 Å, 90.00 90.00 90.00°
Space group F-43m (No. 216)
Unique sites:
Pu1 0.0000 0.0000 0.0000 [4 per cell]
Hf1 0.0000 0.0000 0.5000 [4 per cell]
Pa1 0.2500 0.2500 0.2500 [4 per cell]
Al1 0.2500 0.2500 0.7500 [4 per cell]

***

Compound: HfScPaAl
Source: the Alexandria database
Functional: PBE
Structure: relaxed

Computed properties:
Calculated formation energy   24 meV per atom

Cell: 7.0137 7.0137 7.0137 Å, 90.00 90.00 90.00°
Space group F-43m (No. 216)
Unique sites:
Hf1 0.0000 0.0000 0.0000 [4 per cell]
Sc1 0.0000 0.0000 0.5000 [4 per cell]
Pa1 0.2500 0.2500 0.2500 [4 per cell]
Al1 0.2500 0.2500 0.7500 [4 per cell]

***

Compound: HfPaAlTc
Source: the Alexandria database
Functional: PBE
Structure: relaxed

Computed properties:
Calculated formation energy   -198 meV per atom

Cell: 6.7013 6.7013 6.7013 Å, 90.00 90.00 90.00°
Space group F-43m (No. 216)
Unique sites:
Hf1 0.0000 0.0000 0.0000 [4 per cell]
Pa1 0.2500 0.2500 0.7500 [4 per cell]
Al1 0.2500 0.2500 0.2500 [4 per cell]
Tc1 0.0000 0.0000 0.5000 [4 per cell]

***

Compound: HfPaTiAl
Source: the Alexandria database
Functional: PBE
Structure: relaxed

Computed properties:
Calculated formation energy   42 meV per atom

Cell: 6.9300 6.9300 6.9300 Å, 90.00 90.00 90.00°
Space group F-43m (No. 216)
Unique sites:
Hf1 0.0000 0.0000 0.0000 [4 per cell]
Pa1 0.0000 0.0000 0.5000 [4 per cell]
Ti1 0.2500 0.2500 0.2500 [4 per cell]
Al1 0.2500 0.2500 0.7500 [4 per cell]

***

Compound: Hf2PaAl2Zn2
Source: the Alexandria database
Functional: PBE
Structure: relaxed

Computed properties:
Calculated formation energy   -53 meV per atom

Cell: 4.4282 4.4282 24.7764 Å, 90.00 90.00 120.00°
Space group R-3m (No. 166, hexagonal axes)
Unique sites:
Hf1 0.0000 0.0000 0.1296 [6 per cell]
Pa1 0.0000 0.0000 0.0000 [3 per cell]
Al1 0.0000 0.0000 0.2582 [6 per cell]
Zn1 0.0000 0.0000 0.4033 [6 per cell]